[1]
! MgMnTeCl2, relaxed, DFT GGA-PBE; values from VASP
&SYSTEM
  ibrav = 0, nat = 5, ntyp = 4
/
ATOMIC_SPECIES
Te 127.60 Te.upf
Mn 54.94 Mn.upf
Cl 35.45 Cl.upf
Mg 24.30 Mg.upf
CELL_PARAMETERS angstrom
4.6867 0.0000 0.0000
0.0000 6.0138 0.0000
0.0000 0.0000 4.6867
ATOMIC_POSITIONS crystal
Te 0.0000 0.5000 0.0000
Mn 0.0000 0.0000 0.0000
Cl 0.5000 0.0000 0.0000
Cl 0.0000 0.0000 0.5000
Mg 0.5000 0.5000 0.5000
! total DFT energy (no corrections): -20.713 eV/cell
! ΔE_f (raw): -0.62 eV per atom
! space group: P4/mmm, No. 123

***

[2]
! La5Te4Ru, relaxed, DFT GGA-PBE; values from VASP
&SYSTEM
  ibrav = 0, nat = 10, ntyp = 3
/
ATOMIC_SPECIES
Te 127.60 Te.upf
La 138.91 La.upf
Ru 101.07 Ru.upf
CELL_PARAMETERS angstrom
-5.8544 -1.3563 2.5545
-0.9239 -7.4455 2.2752
-0.4871 1.0003 7.7607
ATOMIC_POSITIONS crystal
Te 0.1932 0.2197 0.3959
Te 0.5891 0.6041 0.2197
Te 0.8089 0.7803 0.6041
Te 0.4130 0.3959 0.7803
La 0.5010 0.0000 0.0000
La 0.7408 0.1689 0.3516
La 0.2613 0.8311 0.6484
La 0.9097 0.3516 0.8311
La 0.0924 0.6484 0.1689
Ru 0.0009 0.0000 0.0000
! total DFT energy (no corrections): -59.605 eV/cell
! ΔE_f (raw): -1.31 eV per atom
! space group: I4/m, No. 87

***

[3]
! CsAsSe2Br, relaxed, DFT GGA-PBE; values from VASP
&SYSTEM
  ibrav = 0, nat = 5, ntyp = 4
/
ATOMIC_SPECIES
Cs 132.91 Cs.upf
Se 78.96 Se.upf
Br 79.90 Br.upf
As 74.92 As.upf
CELL_PARAMETERS angstrom
5.1531 0.0000 0.0000
0.0000 5.1531 0.0000
0.0000 0.0000 5.8370
ATOMIC_POSITIONS crystal
Cs 0.5000 0.5000 0.5000
Se 0.5000 0.0000 0.0000
Se 0.0000 0.5000 0.0000
Br 0.0000 0.0000 0.5000
As 0.0000 0.0000 0.0000
! total DFT energy (no corrections): -16.367 eV/cell
! ΔE_f (raw): -0.44 eV per atom
! space group: P4/mmm, No. 123

***

[4]
! ThNpSb2N, relaxed, DFT GGA-PBE; values from VASP
&SYSTEM
  ibrav = 0, nat = 10, ntyp = 4
/
ATOMIC_SPECIES
Np 237.00 Np.upf
Sb 121.76 Sb.upf
Th 232.04 Th.upf
N 14.01 N.upf
CELL_PARAMETERS angstrom
4.0440 0.0000 0.0000
0.0000 4.0440 0.0000
0.0000 0.0000 14.6980
ATOMIC_POSITIONS crystal
Np 0.5000 0.0000 0.0485
Np 0.0000 0.5000 0.9515
Sb 0.5000 0.0000 0.2677
Sb 0.0000 0.5000 0.7323
Sb 0.5000 0.0000 0.8396
Sb 0.0000 0.5000 0.1604
Th 0.0000 0.5000 0.4205
Th 0.5000 0.0000 0.5795
N 0.5000 0.5000 0.5000
N 0.0000 0.0000 0.5000
! total DFT energy (no corrections): -81.036 eV/cell
! ΔE_f (raw): -0.72 eV per atom
! space group: P4/nmm, No. 129

***

[5]
! AcCd4Hg7, relaxed, DFT GGA-PBE; values from VASP
&SYSTEM
  ibrav = 0, nat = 12, ntyp = 3
/
ATOMIC_SPECIES
Hg 200.59 Hg.upf
Ac 227.00 Ac.upf
Cd 112.41 Cd.upf
CELL_PARAMETERS angstrom
-0.6134 -3.3088 -5.3701
-4.0288 -7.7534 1.4981
-6.2526 0.5589 -3.3696
ATOMIC_POSITIONS crystal
Hg 0.7507 0.9746 0.5239
Hg 0.7248 0.3631 0.1873
Hg 0.0058 0.6484 0.3401
Hg 0.5000 0.0000 0.0000
Hg 0.2752 0.6369 0.8127
Hg 0.2493 0.0254 0.4761
Hg 0.9942 0.3516 0.6599
Ac 0.0000 0.0000 0.0000
Cd 0.2600 0.3323 0.1477
Cd 0.5140 0.3106 0.6613
Cd 0.7400 0.6677 0.8523
Cd 0.4860 0.6894 0.3387
! total DFT energy (no corrections): -10.529 eV/cell
! formation energy: -0.05 eV per atom
! space group: C2/m, No. 12

***

[6]
! LiMg3GaAg, relaxed, DFT GGA-PBE; values from VASP
&SYSTEM
  ibrav = 0, nat = 12, ntyp = 4
/
ATOMIC_SPECIES
Mg 24.30 Mg.upf
Li 6.94 Li.upf
Ga 69.72 Ga.upf
Ag 107.87 Ag.upf
CELL_PARAMETERS angstrom
4.6070 0.0000 0.0000
-2.3035 8.8938 1.4462
0.0000 -0.8961 5.7244
ATOMIC_POSITIONS crystal
Mg 0.8606 0.7212 0.7515
Mg 0.5138 0.0275 0.2499
Mg 0.2278 0.4555 0.7477
Mg 0.1394 0.2788 0.2485
Mg 0.7722 0.5445 0.2523
Mg 0.4862 0.9725 0.7501
Li 0.0746 0.1492 0.7393
Li 0.9254 0.8508 0.2607
Ga 0.6404 0.2808 0.5270
Ga 0.3596 0.7192 0.4730
Ag 0.6416 0.2831 0.9735
Ag 0.3584 0.7169 0.0265
! total DFT energy (no corrections): -26.549 eV/cell
! formation energy: -0.12 eV per atom
! space group: C2/m, No. 12

***

[7]
! Ta2BeCuAu, relaxed, DFT GGA-PBE; values from VASP
&SYSTEM
  ibrav = 0, nat = 5, ntyp = 4
/
ATOMIC_SPECIES
Cu 63.55 Cu.upf
Ta 180.95 Ta.upf
Be 9.01 Be.upf
Au 196.97 Au.upf
CELL_PARAMETERS angstrom
-3.5928 1.4388 -2.1807
-2.2112 -2.7770 1.8109
-0.8658 2.8426 3.3020
ATOMIC_POSITIONS crystal
Cu 0.0000 0.5000 0.0000
Ta 0.5000 0.0000 0.0000
Ta 0.0000 0.0000 0.5000
Be 0.0000 0.0000 0.0000
Au 0.5000 0.5000 0.5000
! total DFT energy (no corrections): -32.582 eV/cell
! formation energy: 0.44 eV per atom
! space group: P4/mmm, No. 123